Record 1
Compound: Zr3Al3Cu2
Source: Alexandria
Functional: PBE
Structure: optimized geometry

Unit cell a=5.442 b=6.623 c=8.602 alpha=69.89 beta=79.60 gamma=78.56
Fractional positions:
Zr1 0.076 0.008 0.155
Zr2 0.214 0.530 0.104
Zr3 0.217 0.135 0.458
Zr4 0.783 0.865 0.542
Zr5 0.786 0.470 0.896
Zr6 0.924 0.992 0.845
Al1 0.270 0.679 0.718
Al2 0.361 0.681 0.393
Al3 0.446 0.901 0.858
Al4 0.554 0.099 0.142
Al5 0.639 0.319 0.607
Al6 0.730 0.321 0.282
Cu1 0.098 0.418 0.630
Cu2 0.340 0.276 0.876
Cu3 0.660 0.724 0.124
Cu4 0.902 0.582 0.370

* ΔE to the lowest computed polymorph: 50.4 meV/atom
* space-group type: P-1

Record 2
Compound: CaZrTc2C
Source: Alexandria
Functional: PBE
Structure: optimized geometry

Unit cell a=4.229 b=4.229 c=4.608 alpha=90.00 beta=90.00 gamma=90.00
Fractional positions:
Ca1 0.000 0.000 0.000
Zr1 0.500 0.500 0.000
Tc1 0.000 0.500 0.500
Tc2 0.500 0.000 0.500
C1 0.500 0.500 0.500

* space-group type: P4/mmm

Record 3
Compound: Li16MgZn12
Source: Alexandria
Functional: PBE
Structure: optimized geometry

Unit cell a=8.507 b=8.507 c=8.434 alpha=109.24 beta=109.24 gamma=109.52
Fractional positions:
Li1 0.000 0.000 0.000
Li2 0.008 0.008 0.358
Li3 0.008 0.418 0.042
Li4 0.008 0.654 0.359
Li5 0.008 0.692 0.766
Li6 0.288 0.603 0.950
Li7 0.321 0.729 0.671
Li8 0.359 0.359 0.709
Li9 0.416 0.697 0.359
Li10 0.418 0.008 0.042
Li11 0.599 0.599 0.636
Li12 0.603 0.288 0.950
Li13 0.654 0.008 0.359
Li14 0.692 0.008 0.766
Li15 0.697 0.416 0.359
Li16 0.729 0.321 0.671
Mg1 0.323 0.323 0.079
Zn1 0.003 0.193 0.724
Zn2 0.006 0.377 0.543
Zn3 0.191 0.822 0.169
Zn4 0.193 0.003 0.724
Zn5 0.194 0.377 0.359
Zn6 0.377 0.006 0.543
Zn7 0.377 0.194 0.359
Zn8 0.640 0.827 0.989
Zn9 0.641 0.641 0.177
Zn10 0.821 0.821 0.542
Zn11 0.822 0.191 0.169
Zn12 0.827 0.640 0.989

* space-group type: Cm

Record 4
Compound: SmIn2Hg4
Source: Alexandria
Functional: PBE
Structure: optimized geometry

Unit cell a=5.019 b=5.019 c=7.357 alpha=90.00 beta=90.00 gamma=90.00
Fractional positions:
Sm1 0.000 0.000 0.000
In1 0.000 0.000 0.500
In2 0.500 0.500 0.000
Hg1 0.000 0.500 0.274
Hg2 0.000 0.500 0.726
Hg3 0.500 0.000 0.274
Hg4 0.500 0.000 0.726

* space-group type: P4/mmm

What VASP energy values result from the calculations? In sequence: -94.8; -39.6; -52.0; -13.0 eV/cell.